1.
A plane-wave DFT calculation with PBE was carried out for crystalline Sr2InGa3Pd4 at its relaxed geometry.

* total magnetic moment: 0.000 μB/atom
* formation enthalpy at 0 K: -702 meV/atom
* crystal system: tetragonal

abc: 4.4916 4.4916 10.5570
angles: 90.00 90.00 90.00
Element x y z (fractional)
Sr: 0.5000 0.0000 0.2381
Sr: 0.0000 0.5000 0.7619
In: 0.5000 0.5000 0.5000
Ga: 0.0000 0.0000 0.5000
Ga: 0.5000 0.0000 0.8838
Ga: 0.0000 0.5000 0.1162
Pd: 0.5000 0.5000 0.0000
Pd: 0.0000 0.0000 0.0000
Pd: 0.5000 0.0000 0.6434
Pd: 0.0000 0.5000 0.3566

2.
A plane-wave DFT calculation with PBE was carried out for crystalline TbInGa2Pd2 at its relaxed geometry.

* total magnetic moment: 0.000 μB/atom
* formation enthalpy at 0 K: -651 meV/atom
* crystal system: trigonal

abc: 4.4300 4.4300 6.7521
angles: 90.00 90.00 120.00
Element x y z (fractional)
Tb: 0.0000 0.0000 0.5000
In: 0.0000 0.0000 0.0000
Ga: 0.3333 0.6667 0.7488
Ga: 0.6667 0.3333 0.2512
Pd: 0.3333 0.6667 0.1916
Pd: 0.6667 0.3333 0.8084

3.
A plane-wave DFT calculation with PBE was carried out for crystalline TbInGaPd at its relaxed geometry.

* total magnetic moment: 0.000 μB/atom
* formation enthalpy at 0 K: -600 meV/atom
* crystal system: cubic

abc: 4.8709 4.8709 4.8709
angles: 60.00 60.00 60.00
Element x y z (fractional)
Tb: 0.0000 0.0000 0.0000
Ga: 0.2500 0.2500 0.2500
Pd: 0.7500 0.7500 0.7500
In: 0.5000 0.5000 0.5000

4.
A plane-wave DFT calculation with PBE was carried out for crystalline InGa2TePd at its relaxed geometry.

* total magnetic moment: 0.000 μB/atom
* crystal system: tetragonal

abc: 4.9001 4.9001 5.3234
angles: 90.00 90.00 90.00
Element x y z (fractional)
Te: 0.5000 0.5000 0.5000
Ga: 0.0000 0.5000 0.0000
Ga: 0.5000 0.0000 0.0000
Pd: 0.0000 0.0000 0.0000
In: 0.0000 0.0000 0.5000

5.
A plane-wave DFT calculation with PBE was carried out for crystalline In2GaTePd at its relaxed geometry.

* total magnetic moment: 0.000 μB/atom
* crystal system: tetragonal

abc: 5.3062 5.3062 4.8272
angles: 90.00 90.00 90.00
Element x y z (fractional)
Te: 0.5000 0.5000 0.5000
Ga: 0.0000 0.0000 0.5000
Pd: 0.0000 0.0000 0.0000
In: 0.0000 0.5000 0.0000
In: 0.5000 0.0000 0.0000

6.
A plane-wave DFT calculation with PBE was carried out for crystalline ThInGaPd at its relaxed geometry.

* total magnetic moment: 0.000 μB/atom
* formation enthalpy at 0 K: -546 meV/atom
* crystal system: cubic

abc: 4.9858 4.9858 4.9858
angles: 60.00 60.00 60.00
Element x y z (fractional)
Ga: 0.2500 0.2500 0.2500
Pd: 0.7500 0.7500 0.7500
Th: 0.0000 0.0000 0.0000
In: 0.5000 0.5000 0.5000

Listing DFT total energy for the structures above in their given order: -4.30, -4.62, -4.50, -3.65, -3.60, -5.14 eV/atom.